Entry 1:
Crystalline CaNdY2As4 at its relaxed geometry. Source: Alexandria, functional PBE.

The formation energy comes out at -1.37 eV/atom.

Lattice parameters (Å, degrees): 4.186 7.294 7.247 70.70 90.00 90.00
Fractional coordinates of all 8 atoms:
Ca (0.000, 0.500, 0.500)
As (0.500, 0.240, 0.754)
Y (0.500, 0.000, 0.500)
As (0.000, 0.241, 0.253)
Y (0.000, 0.000, 0.000)
As (0.000, 0.759, 0.747)
As (0.500, 0.760, 0.246)
Nd (0.500, 0.500, 0.000)

***

Entry 2:
Crystalline K2PaTl3Se6 at its relaxed geometry. Source: Alexandria, functional PBE.

Its uncorrected formation energy is -82.4 kJ/mol of atoms.

Lattice parameters (Å, degrees): 8.262 8.262 7.545 101.57 101.57 123.73
Fractional coordinates of all 12 atoms:
Se (0.785, 0.785, 0.216)
Pa (0.000, 0.000, 0.000)
Se (0.898, 0.624, 0.755)
Se (0.215, 0.215, 0.784)
Tl (0.152, 0.848, 0.500)
Tl (0.500, 0.500, 0.500)
K (0.327, 0.673, 0.000)
Se (0.102, 0.376, 0.245)
Se (0.376, 0.102, 0.245)
K (0.673, 0.327, 0.000)
Se (0.624, 0.898, 0.755)
Tl (0.848, 0.152, 0.500)

***

Entry 3:
Crystalline LiTaSi2 at its relaxed geometry. Source: Alexandria, functional PBE.

The relative energy among the computed polymorphs is 0.000 eV per atom. Its uncorrected formation energy is -22.7 kJ/mol of atoms.

Lattice parameters (Å, degrees): 4.960 4.960 4.960 137.34 136.01 62.95
Fractional coordinates of all 4 atoms:
Li (0.253, 0.753, 0.500)
Si (0.758, 0.258, 0.500)
Si (0.982, 0.982, 0.000)
Ta (0.508, 0.508, 0.000)

***

Entry 4:
Crystalline MgTc2Mo at its relaxed geometry. Source: Alexandria, functional PBE.

The formation energy comes out at 0.35 eV/atom.

Lattice parameters (Å, degrees): 3.113 4.546 4.343 90.00 90.00 90.00
Fractional coordinates of all 4 atoms:
Tc (0.000, 0.000, 0.000)
Mg (0.500, 0.000, 0.500)
Tc (0.500, 0.500, 0.000)
Mo (0.000, 0.500, 0.500)

***

Number 1: Fermi-level density of states 4.08 states/eV/cell, size of the total moment 0.0 μB per cell. Number 2: Fermi-level density of states 4.79 states/eV/cell, size of the total moment 0.0 μB per cell. Number 3: Fermi-level density of states 0.82 states/eV/cell, size of the total moment 0.0 μB per cell. Number 4: Fermi-level density of states 5.00 states/eV/cell, size of the total moment 0.0 μB per cell.